Crystalline ReOsRu at its relaxed geometry, computed with GGA-PBE.

Cell: 4.179 4.179 4.179 Å, 60.00 60.00 60.00°
Fractional positions:
Re  0.000  0.000  0.000
Os  0.250  0.250  0.250
Ru  0.500  0.500  0.500

energy above the most stable polymorph in this dataset = 0.630 eV per atom
DFT total energy = -10.29 eV per atom
formation energy = 0.70 eV per atom


Crystalline Dy2NiPt at its relaxed geometry, computed with GGA-PBE.

Cell: 4.894 4.894 3.414 Å, 90.00 90.00 90.00°
Fractional positions:
Dy  0.000  0.500  0.000
Dy  0.500  0.000  0.000
Ni  0.000  0.000  0.500
Pt  0.500  0.500  0.500

DFT total energy = -6.07 eV per atom
formation energy = -0.81 eV per atom


Crystalline Ca2ScSe3 at its relaxed geometry, computed with GGA-PBE.

Cell: 13.508 12.878 7.079 Å, 79.42 69.57 31.01°
Fractional positions:
Ca  0.043  0.043  0.207
Ca  0.123  0.123  0.627
Ca  0.207  0.207  0.043
Ca  0.373  0.373  0.877
Ca  0.627  0.627  0.123
Ca  0.793  0.793  0.957
Ca  0.877  0.877  0.373
Ca  0.957  0.957  0.793
Sc  0.292  0.292  0.458
Sc  0.458  0.458  0.292
Sc  0.542  0.542  0.708
Sc  0.708  0.708  0.542
Se  0.038  0.540  0.226
Se  0.140  0.610  0.610
Se  0.226  0.696  0.038
Se  0.304  0.774  0.460
Se  0.390  0.860  0.860
Se  0.460  0.962  0.304
Se  0.540  0.038  0.696
Se  0.610  0.140  0.140
Se  0.696  0.226  0.540
Se  0.774  0.304  0.962
Se  0.860  0.390  0.390
Se  0.962  0.460  0.774

DFT total energy = -5.31 eV per atom
raw formation energy = -1846 meV per atom


Crystalline CdInSi2 at its relaxed geometry, computed with GGA-PBE.

Cell: 3.778 3.778 6.038 Å, 90.00 90.00 90.00°
Fractional positions:
Cd  0.000  0.000  0.000
In  0.000  0.000  0.500
Si  0.500  0.500  0.198
Si  0.500  0.500  0.802

energy above the most stable polymorph in this dataset = 0.198 eV per atom
DFT total energy = -3.15 eV per atom
raw formation energy = 471 meV per atom


Crystalline Mg2ZnIr2 at its relaxed geometry, computed with GGA-PBE.

Cell: 7.544 7.544 2.855 Å, 90.00 90.00 90.00°
Fractional positions:
Mg  0.128  0.372  0.000
Mg  0.372  0.872  0.000
Mg  0.628  0.128  0.000
Mg  0.872  0.628  0.000
Zn  0.000  0.000  0.000
Zn  0.500  0.500  0.000
Ir  0.171  0.671  0.500
Ir  0.329  0.171  0.500
Ir  0.671  0.829  0.500
Ir  0.829  0.329  0.500

DFT total energy = -4.43 eV per atom
formation energy = 0.01 eV per atom


Crystalline ScTiOsRu at its relaxed geometry, computed with GGA-PBE.

Cell: 4.447 4.447 4.447 Å, 60.00 60.00 60.00°
Fractional positions:
Sc  0.000  0.000  0.000
Ti  0.500  0.500  0.500
Os  0.250  0.250  0.250
Ru  0.750  0.750  0.750

energy above the most stable polymorph in this dataset = 0.025 eV per atom
DFT total energy = -9.27 eV per atom
formation energy = -0.59 eV per atom


Crystalline PaBr6 at its relaxed geometry, computed with GGA-PBE.

Cell: 8.136 8.136 8.136 Å, 109.47 109.47 109.47°
Fractional positions:
Pa  0.000  0.000  0.000
Br  0.000  0.289  0.289
Br  0.000  0.711  0.711
Br  0.289  0.000  0.289
Br  0.289  0.289  0.000
Br  0.711  0.000  0.711
Br  0.711  0.711  0.000

DFT total energy = -3.90 eV per atom
raw formation energy = -1107 meV per atom


Crystalline Cd2CuTe at its relaxed geometry, computed with GGA-PBE.

Cell: 3.173 3.173 9.212 Å, 90.00 90.00 98.72°
Fractional positions:
Cd  0.000  0.000  0.000
Cd  0.500  0.500  0.262
Cu  0.000  0.000  0.457
Te  0.500  0.500  0.662

DFT total energy = -2.10 eV per atom
raw formation energy = 172 meV per atom


Question: Which of these has the lowest DFT total energy?
Answer: ReOsRu


Question: What is the formula in the fifth record?
Answer: Mg2ZnIr2


Question: What is the DFT total energy in the first record?
Answer: -10.29 eV per atom